# 1
# PBE Ce4H4Pb3, relaxed
# Energy (eV per atom): -4.724
data_Ce4H4Pb3
_chemical_formula_sum 'Ce8 H8 Pb6'
_symmetry_space_group_name_H-M 'I m m m'
_symmetry_Int_Tables_number 71
_symmetry_space_group_name_Hall '-I 2 2'
_cell_length_a 4.543
_cell_length_b 6.810
_cell_length_c 14.476
_cell_angle_alpha 90.00
_cell_angle_beta 90.00
_cell_angle_gamma 90.00
loop_
_atom_site_label
_atom_site_fract_x
_atom_site_fract_y
_atom_site_fract_z
_atom_site_occupancy
Ce1 0.000 0.000 0.219 1
Ce2 0.000 0.201 0.500 1
H1 0.000 0.304 0.314 1
Pb1 0.000 0.000 0.000 1
Pb2 0.000 0.500 0.128 1

***

# 2
# PBE Ce4H3Pb2, relaxed
# Energy (eV per atom): -5.027
data_Ce4H3Pb2
_chemical_formula_sum 'Ce16 H12 Pb8'
_symmetry_space_group_name_H-M 'F m m m'
_symmetry_Int_Tables_number 69
_symmetry_space_group_name_Hall '-F 2 2'
_cell_length_a 6.306
_cell_length_b 6.314
_cell_length_c 18.863
_cell_angle_alpha 90.00
_cell_angle_beta 90.00
_cell_angle_gamma 90.00
loop_
_atom_site_label
_atom_site_fract_x
_atom_site_fract_y
_atom_site_fract_z
_atom_site_occupancy
Ce1 0.000 0.000 0.193 1
Ce2 0.250 0.250 0.000 1
H1 0.000 0.000 0.000 1
H2 0.250 0.250 0.250 1
Pb1 0.000 0.000 0.371 1

***

# 3
# PBE Ce2HPb, relaxed
# Excess energy over the best structure of this formula in the dataset (meV per atom): 132.4
data_Ce2HPb
_chemical_formula_sum 'Ce6 H3 Pb3'
_symmetry_space_group_name_H-M 'R 3 m'
_symmetry_Int_Tables_number 160
_symmetry_space_group_name_Hall 'R 3 -2"'
_cell_length_a 3.4326
_cell_length_b 3.4326
_cell_length_c 26.2367
_cell_angle_alpha 90.00
_cell_angle_beta 90.00
_cell_angle_gamma 120.00
loop_
_atom_site_label
_atom_site_fract_x
_atom_site_fract_y
_atom_site_fract_z
_atom_site_occupancy
Ce1 0.0000 0.0000 0.0000 1
Ce2 0.0000 0.0000 0.2148 1
H1 0.0000 0.0000 0.6076 1
Pb1 0.0000 0.0000 0.7745 1

***

# 4
# PBE CeH2Pb, relaxed
# Energy (eV per atom): -4.474
data_CeH2Pb
_chemical_formula_sum 'Ce3 H6 Pb3'
_symmetry_space_group_name_H-M 'R -3 m'
_symmetry_Int_Tables_number 166
_symmetry_space_group_name_Hall '-R 3 2"'
_cell_length_a 3.7558
_cell_length_b 3.7558
_cell_length_c 16.7166
_cell_angle_alpha 90.00
_cell_angle_beta 90.00
_cell_angle_gamma 120.00
loop_
_atom_site_label
_atom_site_fract_x
_atom_site_fract_y
_atom_site_fract_z
_atom_site_occupancy
Ce1 0.0000 0.0000 0.0000 1
H1 0.0000 0.0000 0.3057 1
Pb1 0.0000 0.0000 0.5000 1